Compound: KTlCo2
Source: the Alexandria database
Functional: meta-GGA SCAN
Structure: PBEsol geometry

a b c (Å): 4.732 4.732 4.732
angles (deg): 60.00 60.00 60.00
Element x y z (fractional)
K 0.000 0.000 0.000
Tl 0.250 0.250 0.250
Co 0.500 0.500 0.500
Co 0.750 0.750 0.750

Results
The space group is F-43m, No. 216. As for the calculated formation energy: 968 meV per atom. As for the density of states at the Fermi level: 1.67 states/eV/f.u.

=====

Compound: KTlCo2
Source: the Alexandria database
Functional: meta-GGA SCAN
Structure: PBEsol geometry

a b c (Å): 4.242 4.242 4.047
angles (deg): 90.00 90.00 90.00
Element x y z (fractional)
K 0.000 0.000 0.000
Tl 0.500 0.500 0.000
Co 0.000 0.500 0.500
Co 0.500 0.000 0.500

Results
The space group is P4/mmm, No. 123. As for the calculated formation energy: 1070 meV per atom. As for the density of states at the Fermi level: 3.84 states/eV/f.u.

=====

Compound: K3TlCo
Source: the Alexandria database
Functional: meta-GGA SCAN
Structure: PBEsol geometry

a b c (Å): 6.055 6.055 6.055
angles (deg): 90.00 90.00 90.00
Element x y z (fractional)
K 0.000 0.000 0.500
K 0.000 0.500 0.000
K 0.500 0.000 0.000
Tl 0.500 0.500 0.500
Co 0.000 0.000 0.000

Results
The space group is Pm-3m, No. 221. As for the calculated formation energy: 549 meV per atom. As for the density of states at the Fermi level: 4.11 states/eV/f.u.

=====

Compound: KTlCo2
Source: the Alexandria database
Functional: meta-GGA SCAN
Structure: PBEsol geometry

a b c (Å): 9.682 9.682 9.682
angles (deg): 17.93 17.93 17.93
Element x y z (fractional)
K 0.000 0.000 0.000
Tl 0.500 0.500 0.500
Co 0.238 0.238 0.238
Co 0.762 0.762 0.762

Results
The space group is R-3m, No. 166. As for the calculated formation energy: 1022 meV per atom. As for the density of states at the Fermi level: 3.41 states/eV/f.u.

=====

Look up the calculated formation energy of the second one.
1070 meV per atom

=====

What is the formula in the second record?
KTlCo2

=====

Which of these has the highest calculated formation energy?
number 2

=====

Number 1 is which compound?
KTlCo2